A plane-wave DFT calculation with PBE was carried out for a relaxed structure of SnAu3S.

The uncorrected formation energy comes out at 0.395 eV per atom. The distance to the lowest polymorph of the same formula comes out at 0 meV per atom.

The structure belongs to space group Pm-3m (No. 221); the cell edges are 4.8814, 4.8814 and 4.8814 Å and the angles 90.00°, 90.00° and 90.00°. The inequivalent atoms are Sn at (0.0000, 0.0000, 0.0000), Au at (0.0000, 0.5000, 0.5000) and S at (0.5000, 0.5000, 0.5000).



A plane-wave DFT calculation with PBE was carried out for a relaxed structure of Nd3Ho6Tm2Th.

The energy of formation comes out at 0.021 eV/atom.

The structure belongs to space group C2/m (No. 12); the cell edges are 6.1736, 10.6916 and 11.7918 Å and the angles 90.00°, 100.08° and 90.00°. The inequivalent atoms are Nd at (0.0000, 0.0000, 0.0000), Nd at (0.0000, 0.3330, 0.0000), Ho at (0.2474, 0.3348, 0.7456), Ho at (0.2481, 0.5000, 0.2544), Tm at (0.0000, 0.1668, 0.5000) and Th at (0.0000, 0.5000, 0.5000).



A plane-wave DFT calculation with PBE was carried out for a relaxed structure of TiCoI2N.

The uncorrected formation energy comes out at 0.463 eV per atom. The distance to the lowest polymorph of the same formula comes out at 51 meV per atom.

The structure belongs to space group P4/mmm (No. 123); the cell edges are 5.4115, 5.4115 and 3.4911 Å and the angles 90.00°, 90.00° and 90.00°. The inequivalent atoms are Ti at (0.0000, 0.0000, 0.0000), Co at (0.5000, 0.5000, 0.5000), I at (0.0000, 0.5000, 0.5000) and N at (0.5000, 0.5000, 0.0000).



A plane-wave DFT calculation with PBE was carried out for a relaxed structure of MnInNiOs2.

The energy of formation comes out at 1.551 eV/atom.

The structure belongs to space group P4/mmm (No. 123); the cell edges are 4.3997, 4.3997 and 4.7627 Å and the angles 90.00°, 90.00° and 90.00°. The inequivalent atoms are Mn at (0.0000, 0.0000, 0.0000), In at (0.0000, 0.0000, 0.5000), Ni at (0.5000, 0.5000, 0.5000) and Os at (0.0000, 0.5000, 0.0000).